1.
A geometry-optimized SrSnHg3 structure. Source: Alexandria via LeMat-Bulk, functional PBE.

Properties
Magnetic moment, μB/f.u.: 0.000
Energy above the lowest structure with this stoichiometry, eV/atom: 0.254
E, eV per cell: -6.85
Theoretical density, Mg/m³: 7.52
Energy of formation, eV per atom: -0.05

Unit cell a=5.630 b=5.630 c=5.630 alpha=90.00 beta=90.00 gamma=90.00
Fractional positions:
Sr (0.000, 0.000, 0.000)
Sn (0.500, 0.500, 0.500)
Hg (0.000, 0.500, 0.500)
Hg (0.500, 0.000, 0.500)
Hg (0.500, 0.500, 0.000)

***

2.
A geometry-optimized Nd4Ag3Au structure. Source: Alexandria via LeMat-Bulk, functional PBE.

Properties
Magnetic moment, μB/f.u.: 0.000
Energy above the lowest structure with this stoichiometry, eV/atom: 0.005
E, eV per cell: -33.97
Theoretical density, Mg/m³: 8.41
Energy of formation, eV per atom: -0.38

Unit cell a=3.916 b=4.899 c=11.301 alpha=90.00 beta=90.00 gamma=90.00
Fractional positions:
Nd (0.000, 0.000, 0.000)
Nd (0.000, 0.500, 0.277)
Nd (0.500, 0.000, 0.493)
Nd (0.500, 0.500, 0.779)
Ag (0.000, 0.000, 0.714)
Ag (0.000, 0.500, 0.559)
Ag (0.500, 0.500, 0.058)
Au (0.500, 0.000, 0.217)

***

3.
A geometry-optimized BeIr3 structure. Source: Alexandria via LeMat-Bulk, functional PBE.

Properties
Magnetic moment, μB/f.u.: 0.000
E, eV per cell: -30.91
Theoretical density, Mg/m³: 18.53
Energy of formation, eV per atom: -0.15

Unit cell a=2.744 b=2.744 c=8.052 alpha=90.00 beta=90.00 gamma=120.00
Fractional positions:
Be (0.000, 0.000, 0.000)
Ir (0.000, 0.000, 0.500)
Ir (0.667, 0.333, 0.220)
Ir (0.667, 0.333, 0.780)

***

4.
A geometry-optimized La2MgAg structure. Source: Alexandria via LeMat-Bulk, functional PBE.

Properties
Magnetic moment, μB/f.u.: 0.001
E, eV per cell: -29.79
Theoretical density, Mg/m³: 5.92
Energy of formation, eV per atom: -0.15

Unit cell a=12.369 b=3.826 c=5.398 alpha=90.00 beta=115.82 gamma=90.00
Fractional positions:
La (0.000, 0.000, 0.000)
La (0.214, 0.000, 0.713)
La (0.500, 0.500, 0.000)
La (0.714, 0.500, 0.713)
Mg (0.281, 0.500, 0.280)
Mg (0.781, 0.000, 0.280)
Ag (0.467, 0.000, 0.467)
Ag (0.967, 0.500, 0.467)

***

5.
A geometry-optimized TlAg structure. Source: Alexandria via LeMat-Bulk, functional PBE.

Properties
Magnetic moment, μB/f.u.: 0.000
E, eV per cell: -9.83
Theoretical density, Mg/m³: 10.86
Energy of formation, eV per atom: 0.15

Unit cell a=3.271 b=3.271 c=10.305 alpha=90.00 beta=90.00 gamma=120.00
Fractional positions:
Tl (0.333, 0.667, 0.148)
Tl (0.667, 0.333, 0.852)
Ag (0.333, 0.667, 0.605)
Ag (0.667, 0.333, 0.395)

***

6.
A geometry-optimized SeS2ClF structure. Source: Alexandria via LeMat-Bulk, functional PBE.

Properties
Magnetic moment, μB/f.u.: 3.631
Energy above the lowest structure with this stoichiometry, eV/atom: 0.403
E, eV per cell: -10.60
Theoretical density, Mg/m³: 2.90
Raw formation energy, eV/f.u.: 4.86

Unit cell a=5.334 b=5.334 c=3.969 alpha=90.00 beta=90.00 gamma=90.00
Fractional positions:
Se (0.000, 0.000, 0.000)
S (0.000, 0.500, 0.500)
S (0.500, 0.000, 0.500)
Cl (0.500, 0.500, 0.000)
F (0.000, 0.000, 0.500)

***

7.
A geometry-optimized Hf2AsP structure. Source: Alexandria via LeMat-Bulk, functional PBE.

Properties
Magnetic moment, μB/f.u.: 0.000
E, eV per cell: -131.50
Theoretical density, Mg/m³: 10.84
Energy of formation, eV per atom: -0.73

Unit cell a=6.571 b=6.571 c=6.571 alpha=90.00 beta=90.00 gamma=90.00
Fractional positions:
Hf (0.250, 0.250, 0.250)
Hf (0.250, 0.250, 0.750)
Hf (0.250, 0.750, 0.250)
Hf (0.250, 0.750, 0.750)
Hf (0.750, 0.250, 0.250)
Hf (0.750, 0.250, 0.750)
Hf (0.750, 0.750, 0.250)
Hf (0.750, 0.750, 0.750)
As (0.000, 0.000, 0.000)
As (0.000, 0.500, 0.500)
As (0.500, 0.000, 0.500)
As (0.500, 0.500, 0.000)
P (0.000, 0.000, 0.500)
P (0.000, 0.500, 0.000)
P (0.500, 0.000, 0.000)
P (0.500, 0.500, 0.500)

***

8.
A geometry-optimized LiLaZn3 structure. Source: Alexandria via LeMat-Bulk, functional PBE.

Properties
Magnetic moment, μB/f.u.: 0.000
Energy above the lowest structure with this stoichiometry, eV/atom: 0.000
E, eV per cell: -23.62
Theoretical density, Mg/m³: 5.58
Energy of formation, eV per atom: -0.23

Unit cell a=5.994 b=6.212 c=5.999 alpha=90.00 beta=114.26 gamma=90.00
Fractional positions:
Li (0.101, 0.250, 0.401)
Li (0.899, 0.750, 0.599)
La (0.230, 0.750, 0.271)
La (0.770, 0.250, 0.729)
Zn (0.286, 0.501, 0.786)
Zn (0.286, 0.999, 0.786)
Zn (0.350, 0.250, 0.149)
Zn (0.650, 0.750, 0.851)
Zn (0.714, 0.001, 0.214)
Zn (0.714, 0.499, 0.214)

***

9.
A geometry-optimized Zn2Ni2Ir structure. Source: Alexandria via LeMat-Bulk, functional PBE.

Properties
Magnetic moment, μB/f.u.: 0.000
Energy above the lowest structure with this stoichiometry, eV/atom: 0.033
E, eV per cell: -45.68
Theoretical density, Mg/m³: 11.39
Energy of formation, eV per atom: 0.03

Unit cell a=6.868 b=6.868 c=2.722 alpha=90.00 beta=90.00 gamma=90.00
Fractional positions:
Zn (0.173, 0.327, 0.000)
Zn (0.327, 0.827, 0.000)
Zn (0.673, 0.173, 0.000)
Zn (0.827, 0.673, 0.000)
Ni (0.125, 0.625, 0.500)
Ni (0.375, 0.125, 0.500)
Ni (0.625, 0.875, 0.500)
Ni (0.875, 0.375, 0.500)
Ir (0.000, 0.000, 0.500)
Ir (0.500, 0.500, 0.500)

***

10.
A geometry-optimized InSi2 structure. Source: Alexandria via LeMat-Bulk, functional PBE.

Properties
Magnetic moment, μB/f.u.: 0.000
Energy above the lowest structure with this stoichiometry, eV/atom: 0.121
E, eV per cell: -50.07
Theoretical density, Mg/m³: 4.56
Raw formation energy, eV/f.u.: 1.07

Unit cell a=11.993 b=3.768 c=5.964 alpha=90.00 beta=112.33 gamma=90.00
Fractional positions:
In (0.044, 0.000, 0.286)
In (0.456, 0.500, 0.714)
In (0.544, 0.500, 0.286)
In (0.956, 0.000, 0.714)
Si (0.165, 0.500, 0.805)
Si (0.217, 0.500, 0.240)
Si (0.283, 0.000, 0.760)
Si (0.335, 0.000, 0.195)
Si (0.665, 0.000, 0.805)
Si (0.717, 0.000, 0.240)
Si (0.783, 0.500, 0.760)
Si (0.835, 0.500, 0.195)

***

11.
A geometry-optimized CaPrSb2 structure. Source: Alexandria via LeMat-Bulk, functional PBE.

Properties
Magnetic moment, μB/f.u.: 0.000
Energy above the lowest structure with this stoichiometry, eV/atom: 0.000
E, eV per cell: -75.09
Theoretical density, Mg/m³: 5.29
Raw formation energy, eV/f.u.: -3.75

Unit cell a=18.823 b=4.398 c=6.438 alpha=90.00 beta=90.00 gamma=90.00
Fractional positions:
Ca (0.188, 0.250, 0.248)
Ca (0.312, 0.750, 0.748)
Ca (0.688, 0.250, 0.252)
Ca (0.812, 0.750, 0.752)
Pr (0.065, 0.750, 0.749)
Pr (0.435, 0.250, 0.249)
Pr (0.565, 0.750, 0.751)
Pr (0.935, 0.250, 0.251)
Sb (0.060, 0.750, 0.249)
Sb (0.187, 0.250, 0.748)
Sb (0.313, 0.750, 0.248)
Sb (0.440, 0.250, 0.749)
Sb (0.560, 0.750, 0.251)
Sb (0.687, 0.250, 0.752)
Sb (0.813, 0.750, 0.252)
Sb (0.940, 0.250, 0.751)

***

12.
A geometry-optimized TaNiPt2 structure. Source: Alexandria via LeMat-Bulk, functional PBE.

Properties
Magnetic moment, μB/f.u.: 0.000
E, eV per cell: -91.60
Theoretical density, Mg/m³: 17.16
Energy of formation, eV per atom: -0.20

Unit cell a=2.804 b=2.804 c=26.846 alpha=90.00 beta=90.00 gamma=120.00
Fractional positions:
Ta (0.000, 0.000, 0.000)
Ta (0.333, 0.667, 0.667)
Ta (0.667, 0.333, 0.333)
Ni (0.000, 0.000, 0.746)
Ni (0.333, 0.667, 0.412)
Ni (0.667, 0.333, 0.079)
Pt (0.000, 0.000, 0.249)
Pt (0.000, 0.000, 0.492)
Pt (0.333, 0.667, 0.159)
Pt (0.333, 0.667, 0.916)
Pt (0.667, 0.333, 0.582)
Pt (0.667, 0.333, 0.825)